# Th2InCu9

A relaxed structure of Th2InCu9 (PBE, the Alexandria database).

Output
Calculated total energy: -4.5798 eV/atom
D(E_F): 4.449 states/eV/f.u.
Mass density: 9.81 g/cm3
E_form: -43 meV/atom

```
data_Th2InCu9
_space_group_name_H-M_alt 'P 1'
_space_group_IT_number 1
_cell_length_a 8.952
_cell_length_b 8.952
_cell_length_c 8.952
_cell_angle_alpha 33.51
_cell_angle_beta 33.51
_cell_angle_gamma 33.51
loop_
_space_group_symop_operation_xyz
'x,y,z'
loop_
_atom_site_label
_atom_site_fract_x
_atom_site_fract_y
_atom_site_fract_z
Th1 0.139 0.139 0.139
Th2 0.861 0.861 0.861
In1 0.000 0.000 0.000
Cu1 0.079 0.581 0.581
Cu2 0.333 0.333 0.333
Cu3 0.419 0.419 0.921
Cu4 0.419 0.921 0.419
Cu5 0.500 0.500 0.500
Cu6 0.581 0.079 0.581
Cu7 0.581 0.581 0.079
Cu8 0.667 0.667 0.667
Cu9 0.921 0.419 0.419
```